A geometry-optimized La2Dy12Y5 structure. Source: Alexandria, functional PBE.

Properties
Formation enthalpy at 0 K in eV/atom: 0.023
Energy relative to the lowest polymorph listed for this composition in meV/atom: 0
Uncorrected energy in eV/atom: -5.104
DOS(E_F) in states/eV/f.u.: 26.9

a = 7.9873 Å, b = 7.9947 Å, c = 10.7122 Å
α = 94.23°, β = 107.35°, γ = 107.49°
With the nearest neighbours (Å) after each atom.
Space group P-1 (No. 2)
Symmetry-distinct sites (fractional):
La1 0.0261 0.3171 0.0809  9 Dy 3.56-3.61, 1 La 3.57, 2 Y 3.60-3.61
Dy1 0.0792 0.9456 0.2389  5 Dy 3.55-3.59, 5 Y 3.55-3.61, 2 La 3.60-3.61
Dy2 0.1323 0.5800 0.3958  8 Dy 3.54-3.59, 1 La 3.56, 3 Y 3.56-3.57
Dy3 0.2373 0.8427 0.7076  6 Dy 3.54-3.59, 5 Y 3.54-3.60, 1 La 3.58
Dy4 0.2913 0.4751 0.8668  3 Y 3.54-3.59, 7 Dy 3.54-3.60, 2 La 3.57-3.61
Dy5 0.3975 0.7371 0.1864  6 Dy 3.55-3.60, 4 Y 3.55-3.59, 2 La 3.58-3.60
Dy6 0.4497 0.3688 0.3437  7 Dy 3.54-3.59, 4 Y 3.56-3.59, 1 La 3.59
Y1 0.1841 0.2109 0.5513  10 Dy 3.55-3.57, 2 Y 3.57-3.58
Y2 0.3457 0.1063 0.0264  1 Y 3.53, 9 Dy 3.54-3.61, 2 La 3.60-3.61
Y3 0.5000 0.0000 0.5000  10 Dy 3.54-3.57, 2 Y 3.57

A geometry-optimized VPtN2 structure. Source: Alexandria, functional PBE.

Properties
Energy relative to the lowest polymorph listed for this composition in meV/atom: 224
Formation energy without anion corrections in eV/atom: -0.08
Uncorrected energy in eV/atom: -8.035
DOS(E_F) in states/eV/f.u.: 3.8

a = 4.6550 Å, b = 4.6550 Å, c = 8.9960 Å
α = 90.00°, β = 90.00°, γ = 90.00°
With the nearest neighbours (Å) after each atom.
Space group I-42d (No. 122)
Symmetry-distinct sites (fractional):
V1 0.0000 0.0000 0.0000  4 N 1.86
Pt1 0.0000 0.0000 0.5000  4 N 2.14
N1 0.1990 0.2500 0.1250  2 V 1.86

A geometry-optimized Te2AsBr structure. Source: Alexandria, functional PBE.

Properties
Energy relative to the lowest polymorph listed for this composition in meV/atom: 146
Formation energy without anion corrections in eV/atom: 0.08
Uncorrected energy in eV/atom: -3.072
DOS(E_F) in states/eV/f.u.: 2.2

a = 3.8134 Å, b = 4.5098 Å, c = 8.0372 Å
α = 90.00°, β = 90.00°, γ = 90.00°
With the nearest neighbours (Å) after each atom.
Space group Pmm2 (No. 25)
Symmetry-distinct sites (fractional):
Te1 0.0000 0.0000 0.0000  1 As 2.53
Te2 0.5000 0.5000 0.3189  1 Br 2.58
As1 0.0000 0.0000 0.3150  1 Te 2.53
Br1 0.5000 0.5000 0.6405  1 Te 2.58

A geometry-optimized Pr14DyTl structure. Source: Alexandria, functional PBE.

Properties
Formation enthalpy at 0 K in eV/atom: -0.029
Uncorrected energy in eV/atom: -4.647
DOS(E_F) in states/eV/f.u.: 20.1

a = 10.4158 Å, b = 10.3420 Å, c = 10.3414 Å
α = 90.00°, β = 90.00°, γ = 90.00°
With the nearest neighbours (Å) after each atom.
Space group Amm2 (No. 38)
Symmetry-distinct sites (fractional):
Pr1 0.0000 0.0000 0.0000  12 Pr 3.65-3.72
Pr2 0.0000 0.0000 0.4992  12 Pr 3.65-3.70
Pr3 0.0000 0.2497 0.2494  12 Pr 3.65-3.71
Pr4 0.2546 0.0000 0.7479  1 Tl 3.62, 10 Pr 3.63-3.72, 1 Dy 3.65
Pr5 0.2553 0.2486 0.4994  1 Tl 3.62, 10 Pr 3.63-3.72, 1 Dy 3.64
Pr6 0.2559 0.0000 0.2511  1 Tl 3.61, 10 Pr 3.63-3.72, 1 Dy 3.64
Pr7 0.5000 0.2493 0.7491  8 Pr 3.63, 2 Tl 3.65-3.66, 2 Dy 3.65-3.66
Dy1 0.5000 0.0000 0.9993  12 Pr 3.64-3.66
Tl1 0.5000 0.0000 0.4996  12 Pr 3.61-3.66

A geometry-optimized Tm2ThPb structure. Source: Alexandria, functional PBE.

Properties
Formation enthalpy at 0 K in eV/atom: 0.037
Energy relative to the lowest polymorph listed for this composition in meV/atom: 247
Uncorrected energy in eV/atom: -4.980
DOS(E_F) in states/eV/f.u.: 3.7

a = 3.5317 Å, b = 3.5317 Å, c = 35.4609 Å
α = 90.00°, β = 90.00°, γ = 120.00°
With the nearest neighbours (Å) after each atom.
Space group R-3m (No. 166, hexagonal axes)
Symmetry-distinct sites (fractional):
Tm1 0.0000 0.0000 0.0887  1 Pb 3.15, 3 Th 3.43
Th1 0.0000 0.0000 0.5000  6 Tm 3.43, 6 Th 3.53
Pb1 0.0000 0.0000 0.0000  2 Tm 3.15

A geometry-optimized LaGaPt3 structure. Source: Alexandria, functional PBE.

Properties
Formation enthalpy at 0 K in eV/atom: -0.862
Energy relative to the lowest polymorph listed for this composition in meV/atom: 0
Uncorrected energy in eV/atom: -6.077
DOS(E_F) in states/eV/f.u.: 1.8

a = 8.4966 Å, b = 4.2033 Å, c = 10.7715 Å
α = 90.00°, β = 90.00°, γ = 90.00°
With the nearest neighbours (Å) after each atom.
Space group Pnma (No. 62)
Symmetry-distinct sites (fractional):
La1 0.1831 0.2500 0.0104  7 Pt 3.05-3.27, 2 Ga 3.20
Ga1 0.1064 0.2500 0.3593  7 Pt 2.48-2.64
Pt1 0.0688 0.2500 0.5892  3 Ga 2.50-2.63, 1 Pt 2.76
Pt2 0.1113 0.7500 0.7948  2 Ga 2.48-2.50
Pt3 0.1472 0.7500 0.2142  2 Ga 2.64, 2 Pt 2.76-2.80